[1]
A geometry-optimized KCu2BiS3 structure, computed with PBE-GGA.

Results
Symmetry: P-1, No. 2

a = 6.524 Å, b = 9.364 Å, c = 10.559 Å
α = 89.80°, β = 90.51°, γ = 90.80°
Element x y z (fractional)
K (0.205, 0.935, 0.876)
K (0.795, 0.065, 0.124)
K (0.699, 0.923, 0.636)
K (0.301, 0.077, 0.364)
Cu (0.490, 0.630, 0.828)
Cu (0.510, 0.370, 0.172)
Cu (0.025, 0.222, 0.635)
Cu (0.975, 0.778, 0.365)
Cu (0.078, 0.337, 0.966)
Cu (0.922, 0.663, 0.034)
Cu (0.581, 0.338, 0.543)
Cu (0.419, 0.662, 0.457)
Bi (0.532, 0.316, 0.850)
Bi (0.468, 0.684, 0.150)
Bi (0.029, 0.539, 0.653)
Bi (0.971, 0.461, 0.347)
S (0.886, 0.188, 0.830)
S (0.114, 0.812, 0.170)
S (0.366, 0.182, 0.656)
S (0.634, 0.818, 0.344)
S (0.344, 0.204, 0.053)
S (0.656, 0.796, 0.947)
S (0.624, 0.567, 0.639)
S (0.376, 0.433, 0.361)
S (0.161, 0.570, 0.886)
S (0.839, 0.430, 0.114)
S (0.152, 0.784, 0.551)
S (0.848, 0.216, 0.449)

***

[2]
A geometry-optimized SrNb6S8 structure, computed with PBE-GGA.

Results
Symmetry: R-3, No. 148

a = 6.754 Å, b = 6.754 Å, c = 6.754 Å
α = 87.97°, β = 87.97°, γ = 87.97°
Element x y z (fractional)
Sr (0.000, 0.000, 0.000)
Nb (0.593, 0.442, 0.794)
Nb (0.442, 0.794, 0.593)
Nb (0.794, 0.593, 0.442)
Nb (0.407, 0.558, 0.206)
Nb (0.558, 0.206, 0.407)
Nb (0.206, 0.407, 0.558)
S (0.762, 0.762, 0.762)
S (0.238, 0.238, 0.238)
S (0.601, 0.870, 0.256)
S (0.870, 0.256, 0.601)
S (0.256, 0.601, 0.870)
S (0.399, 0.130, 0.744)
S (0.130, 0.744, 0.399)
S (0.744, 0.399, 0.130)

***

For each record above, in turn, the calculated energy relative to the elements, uncorrected values are -47; -105 kJ/mol of atoms.